The following is a DFT calculation (PBE+U) of a relaxed structure of LiBeCr2O6.

Lattice parameters (Å, degrees): 4.838 4.837 5.260 62.63 62.62 59.98
Last column: magnetic moment on the atom in μB.
Sites, in units of the cell vectors:
Li 0.815 0.815 0.555  0.00
Be 0.263 0.263 0.212  0.02
Cr 0.508 0.508 0.475  2.42
Cr 0.017 0.017 0.949  2.28
O 0.592 0.251 0.223  -0.19
O 0.251 0.934 0.224  -0.19
O 0.934 0.592 0.223  -0.19
O 0.401 0.761 0.718  -0.33
O 0.761 0.120 0.718  -0.33
O 0.119 0.401 0.718  -0.34

V (A^3/atom): 9.031
Energy (Ry/atom): -0.49322